NaLiNb2Sb, relaxed, DFT PBE; energy relative to the elements, uncorrected = 4.5 eV per formula unit
1.0
-1.4263 -4.2671 0.8353
3.3941 -1.6783 -2.7780
2.8227 -0.2400 3.5938
Sb Nb Li Na
1 2 1 1
Direct
0.0000 0.5000 0.0000
0.0000 0.0000 0.5000
0.5000 0.0000 0.0000
0.0000 0.0000 0.0000
0.5000 0.5000 0.5000

***

PaAl9Cu2, relaxed, DFT PBE; ΔE_f = -0.1254 eV per atom
1.0
-4.8826 5.0272 -0.5374
-5.6305 0.0926 6.0588
1.8993 7.1530 3.6941
Pa Al Cu
2 18 4
Direct
0.5000 0.0000 0.0000
0.2500 0.5000 0.5000
0.7500 0.5000 0.5000
0.0000 0.0000 0.0000
0.0042 0.9218 0.6780
0.6039 0.0782 0.3220
0.6760 0.1780 0.5782
0.4322 0.8220 0.4218
0.7458 0.8220 0.5782
0.1461 0.1780 0.4218
0.0740 0.9218 0.3220
0.3178 0.0782 0.6780
0.7458 0.5782 0.8220
0.1461 0.4218 0.1780
0.0740 0.3220 0.9218
0.3178 0.6780 0.0782
0.0042 0.6780 0.9218
0.6039 0.3220 0.0782
0.6760 0.5782 0.1780
0.4322 0.4218 0.8220
0.8750 0.2500 0.7500
0.8750 0.7500 0.2500
0.8750 0.2500 0.2500
0.3750 0.7500 0.7500

***

CaSi2Pt, relaxed, DFT PBE; energy relative to the elements, uncorrected = -2.9 eV per formula unit
1.0
-3.3519 0.9433 2.2915
-0.7575 -1.6301 3.7610
1.4950 3.8201 4.0500
Ca Si Pt
1 2 1
Direct
0.2500 0.2500 0.2500
0.0293 0.0293 0.8933
0.4707 0.4707 0.6067
0.7500 0.7500 0.7500

***

TaIn4, relaxed, DFT PBE; ΔE_f = 0.1679 eV per atom; energy above the lowest structure with this stoichiometry = 0.00 eV per formula unit
1.0
4.6195 -3.2658 -0.4763
0.0843 2.6792 5.0047
-4.6504 -3.2394 -0.3342
Ta In
1 4
Direct
0.0000 0.0000 0.0000
0.5000 0.0000 0.0000
0.5000 0.5000 0.5000
0.0000 0.5000 0.0000
0.0000 0.0000 0.5000

***

K2NaAuI, relaxed, DFT PBE; energy relative to the elements, uncorrected = -2.7 eV per formula unit
1.0
-2.9002 4.8369 -2.9078
-4.4169 0.0898 4.5547
3.1060 3.6302 2.9406
I Na K Au
1 1 2 1
Direct
0.5000 0.5000 0.5000
0.0000 0.0000 0.5000
0.0000 0.5000 0.0000
0.5000 0.0000 0.0000
0.0000 0.0000 0.0000

***

Ba2UCdS6, relaxed, DFT PBE; energy relative to the elements, uncorrected = -14.5 eV per formula unit
1.0
7.3928 0.0000 -0.4585
0.0000 7.1455 0.0000
-3.3429 -3.5727 5.3079
Ba U Cd S
2 1 1 6
Direct
0.2432 0.2528 0.5055
0.7568 0.7472 0.4945
0.0000 0.5000 0.0000
0.5000 0.0000 0.0000
0.3255 0.7422 0.4844
0.1938 0.2067 0.9077
0.8062 0.2990 0.0923
0.1938 0.7010 0.9077
0.8062 0.7933 0.0923
0.6745 0.2578 0.5156

***

YZnB, relaxed, DFT PBE; ΔE_f = -0.2818 eV per atom; energy above the lowest structure with this stoichiometry = 0.27 eV per formula unit
1.0
-2.1603 -1.3838 -3.2037
3.0252 -1.3812 -1.4432
-0.8899 -5.6965 3.5864
Y Zn B
2 2 2
Direct
0.3341 0.5770 0.3419
0.7721 0.5769 0.7503
0.8147 0.0769 0.1473
0.2918 0.0768 0.9451
0.9025 0.0770 0.4624
0.2036 0.0770 0.6299

***

YVAs3, relaxed, DFT PBE; ΔE_f = -0.2804 eV per atom; energy above the lowest structure with this stoichiometry = 0.00 eV per formula unit
1.0
4.7814 0.0000 0.0000
0.0000 4.7814 0.0000
0.0000 0.0000 4.7814
Y As V
1 3 1
Direct
0.5000 0.5000 0.5000
0.0000 0.5000 0.0000
0.0000 0.0000 0.5000
0.5000 0.0000 0.0000
0.0000 0.0000 0.0000

***

ReBr, relaxed, DFT PBE; energy relative to the elements, uncorrected = 0.5 eV per formula unit; energy above the lowest structure with this stoichiometry = 0.00 eV per formula unit
1.0
-0.1385 -2.6061 -2.3378
-1.4130 -0.4208 3.1785
-23.5489 9.5130 -9.2094
Re Br
6 6
Direct
0.0000 0.0000 0.3085
0.0000 0.0000 0.6915
0.3333 0.6667 0.6420
0.3333 0.6667 0.0248
0.6667 0.3333 0.9752
0.6667 0.3333 0.3580
0.0000 0.0000 0.0995
0.0000 0.0000 0.9005
0.3333 0.6667 0.4327
0.3333 0.6667 0.2337
0.6667 0.3333 0.7663
0.6667 0.3333 0.5673

***

Nd2MgRh2, relaxed, DFT PBE; ΔE_f = -0.6201 eV per atom
1.0
-2.1994 -5.3678 -1.2327
1.3418 -4.8767 3.0964
-6.1765 -1.0377 5.1700
Nd Mg Rh
4 2 4
Direct
0.4998 0.2053 0.1495
0.7947 0.5002 0.3505
0.5002 0.7947 0.8505
0.2053 0.4998 0.6495
0.1307 0.8693 0.2500
0.8693 0.1307 0.7500
0.7167 0.0107 0.5151
0.9893 0.2833 0.9849
0.2833 0.9893 0.4849
0.0107 0.7167 0.0151

***

Tm2MnGe4Pt3, relaxed, DFT PBE; ΔE_f = -0.7612 eV per atom
1.0
4.0524 0.0000 0.0000
0.0000 4.0524 0.0000
0.0000 0.0000 11.1268
Tm Mn Ge Pt
2 1 4 3
Direct
0.5000 0.0000 0.2597
0.0000 0.5000 0.7403
0.5000 0.5000 0.5000
0.5000 0.5000 0.0000
0.0000 0.0000 0.0000
0.5000 0.0000 0.6365
0.0000 0.5000 0.3635
0.0000 0.0000 0.5000
0.5000 0.0000 0.8563
0.0000 0.5000 0.1437

***

Ca2Sn4PdPt3, relaxed, DFT PBE; ΔE_f = -0.7413 eV per atom
1.0
4.5602 0.0000 0.0000
0.0000 4.5602 0.0000
0.0000 0.0000 10.9690
Ca Sn Pd Pt
2 4 1 3
Direct
0.5000 0.0000 0.2569
0.0000 0.5000 0.7431
0.5000 0.5000 0.0000
0.0000 0.0000 0.0000
0.5000 0.0000 0.6271
0.0000 0.5000 0.3729
0.5000 0.5000 0.5000
0.0000 0.0000 0.5000
0.5000 0.0000 0.8660
0.0000 0.5000 0.1340

***

Tl6Se2IBr2, relaxed, DFT PBE; energy relative to the elements, uncorrected = -5.8 eV per formula unit
1.0
8.2271 -0.2782 0.0752
-4.3081 7.0144 0.0752
-1.3984 -2.4037 7.6493
Tl Se I Br
6 2 1 2
Direct
0.7175 0.7175 0.7364
0.0615 0.4432 0.7302
0.2825 0.2825 0.2636
0.4432 0.0615 0.7302
0.9385 0.5568 0.2698
0.5568 0.9385 0.2698
0.3314 0.6686 0.5000
0.6686 0.3314 0.5000
0.0000 0.0000 0.5000
0.8459 0.1541 0.0000
0.1541 0.8459 0.0000

***

TaTc2Ir2, relaxed, DFT PBE; ΔE_f = -0.0926 eV per atom; energy above the lowest structure with this stoichiometry = 0.00 eV per formula unit
1.0
7.5333 0.0000 0.0000
0.0000 7.5333 0.0000
0.0000 0.0000 2.7708
Ir Tc Ta
4 4 2
Direct
0.3761 0.8761 0.0000
0.8761 0.6239 0.0000
0.6239 0.1239 0.0000
0.1239 0.3761 0.0000
0.1733 0.6733 0.5000
0.6733 0.8267 0.5000
0.8267 0.3267 0.5000
0.3267 0.1733 0.5000
0.0000 0.0000 0.0000
0.5000 0.5000 0.0000

***

Cs2YCrCl6, relaxed, DFT PBE; energy relative to the elements, uncorrected = -17.7 eV per formula unit
1.0
7.5660 0.0000 0.0000
0.0000 7.5660 0.0000
3.7830 3.7830 5.3545
Cs Y Cl Cr
2 1 6 1
Direct
0.7500 0.2500 0.5000
0.2500 0.7500 0.5000
0.0000 0.0000 0.0000
0.2486 0.2486 0.5027
0.7514 0.7514 0.4973
0.2489 0.2489 0.0000
0.7511 0.7511 0.0000
0.7511 0.2489 0.0000
0.2489 0.7511 0.0000
0.5000 0.5000 0.0000

***

Sr2CoBrN, relaxed, DFT PBE; energy relative to the elements, uncorrected = -4.3 eV per formula unit
1.0
-1.9597 -3.4573 3.7828
-2.0600 -3.1768 -3.9707
3.0677 -1.8557 -0.1068
Sr Co Br N
2 1 1 1
Direct
0.0000 0.5000 0.0000
0.5000 0.0000 0.0000
0.0000 0.0000 0.5000
0.5000 0.5000 0.5000
0.0000 0.0000 0.0000

***

BaPBr2, relaxed, DFT PBE; energy relative to the elements, uncorrected = -2.4 eV per formula unit; energy above the lowest structure with this stoichiometry = 1.28 eV per formula unit
1.0
5.6455 0.0000 0.0000
2.8227 4.8891 0.0000
2.8227 1.6297 4.6095
Ba Br P
1 2 1
Direct
0.5000 0.5000 0.5000
0.0000 0.0000 0.0000
0.2500 0.2500 0.2500
0.7500 0.7500 0.7500

***

Zr2AgSe, relaxed, DFT PBE; energy relative to the elements, uncorrected = -1.4 eV per formula unit
1.0
-5.1641 0.1453 2.8458
-1.6341 -4.4740 3.4785
3.9841 4.1963 -1.1425
Ag Se Zr
1 1 2
Direct
0.5163 0.5163 0.0000
0.7635 0.2635 0.5000
0.9791 0.9791 0.0000
0.2412 0.7412 0.5000

***

BaAgO3, relaxed, DFT PBE; energy relative to the elements, uncorrected = -5.0 eV per formula unit
1.0
-3.3328 -2.2530 4.3221
0.5557 -5.7207 1.3524
2.5646 -1.4952 5.1041
O Ba Ag
6 2 2
Direct
0.2462 0.7893 0.7035
0.2893 0.7462 0.2035
0.2035 0.2893 0.7462
0.7462 0.2035 0.2893
0.7893 0.7035 0.2462
0.7035 0.2462 0.7893
0.2464 0.2464 0.2464
0.7464 0.7464 0.7464
0.9964 0.9964 0.9964
0.4964 0.4964 0.4964

***

Be2AlHg, relaxed, DFT PBE; ΔE_f = 0.4532 eV per atom
1.0
3.8891 0.0000 0.0000
0.0000 3.8891 0.0000
0.0000 0.0000 3.7447
Be Hg Al
2 1 1
Direct
0.0000 0.0000 0.0000
0.5000 0.5000 0.0000
0.5000 0.0000 0.5000
0.0000 0.5000 0.5000